(1)
Compound: Li2Ac2CoO6
Source: Alexandria
Functional: PBE+U
Structure: relaxed

Output
Crystal system ... trigonal
DFT total energy ... -70.356 eV for the cell shown
Magnetic moment ... 1.00 Bohr magnetons per cell

a b c (Å): 5.6149 5.6149 5.7803
angles (deg): 60.94 60.94 60.00
Closest atoms and distances in Å follow each position.
Positions (direct):
Li  0.4304  0.4304  0.7089  3 O 1.76
Li  0.5696  0.5696  0.2911  3 O 1.76
Ac  0.7668  0.7668  0.6996  9 O 2.66-2.82, 1 Li 2.83
Ac  0.2332  0.2332  0.3004  9 O 2.66-2.82, 1 Li 2.83
Co  0.0000  0.0000  0.0000  6 O 1.89
O  0.7658  0.7658  0.2404  1 Li 1.76, 1 Co 1.89
O  0.2279  0.7658  0.2404  1 Li 1.76, 1 Co 1.89
O  0.7658  0.2279  0.2404  1 Li 1.76, 1 Co 1.89
O  0.2342  0.7721  0.7596  1 Li 1.76, 1 Co 1.89
O  0.7721  0.2342  0.7596  1 Li 1.76, 1 Co 1.89
O  0.2342  0.2342  0.7596  1 Li 1.76, 1 Co 1.89

***

(2)
Compound: Li2Ac3CoO6
Source: Alexandria
Functional: PBE+U
Structure: relaxed

Output
Crystal system ... trigonal
DFT total energy ... -77.906 eV for the cell shown
Magnetic moment ... 1.60 Bohr magnetons per cell

a b c (Å): 5.6110 5.6110 6.5889
angles (deg): 90.00 90.00 120.00
Closest atoms and distances in Å follow each position.
Positions (direct):
Li  0.6667  0.3333  0.8134  3 O 1.89
Li  0.3333  0.6667  0.1866  3 O 1.89
Ac  0.3333  0.6667  0.6277  9 O 2.61-2.82, 1 Li 2.91
Ac  0.6667  0.3333  0.3723  9 O 2.61-2.82, 1 Li 2.91
Ac  0.0000  0.0000  0.0000  6 O 2.65
Co  0.0000  0.0000  0.5000  6 O 1.96
O  0.6759  0.8380  0.3226  1 Li 1.89, 1 Co 1.96
O  0.1620  0.3241  0.3226  1 Li 1.89, 1 Co 1.96
O  0.1620  0.8380  0.3226  1 Li 1.89, 1 Co 1.96
O  0.8380  0.6759  0.6774  1 Li 1.89, 1 Co 1.96
O  0.3241  0.1620  0.6774  1 Li 1.89, 1 Co 1.96
O  0.8380  0.1620  0.6774  1 Li 1.89, 1 Co 1.96

***

(3)
Compound: LiAc3Co2O8
Source: Alexandria
Functional: PBE+U
Structure: relaxed

Output
Crystal system ... trigonal
DFT total energy ... -95.154 eV for the cell shown
Magnetic moment ... 8.00 Bohr magnetons per cell

a b c (Å): 5.5915 5.5915 7.2641
angles (deg): 90.00 90.00 120.00
Closest atoms and distances in Å follow each position.
Positions (direct):
Li  0.0000  0.0000  0.5000  6 O 2.09
Ac  0.3333  0.6667  0.6328  1 O 2.29
Ac  0.6667  0.3333  0.3672  1 O 2.29
Ac  0.0000  0.0000  0.0000  6 O 2.77
Co  0.3333  0.6667  0.1959  4 O 1.80-1.85
Co  0.6667  0.3333  0.8041  4 O 1.80-1.85
O  0.3333  0.6667  0.9478  1 Co 1.80
O  0.6667  0.3333  0.0522  1 Co 1.80
O  0.1636  0.8364  0.3134  1 Co 1.85
O  0.8364  0.1636  0.6866  1 Co 1.85
O  0.1636  0.3273  0.3134  1 Co 1.85
O  0.8364  0.6727  0.6866  1 Co 1.85
O  0.6727  0.8364  0.3134  1 Co 1.85
O  0.3273  0.1636  0.6866  1 Co 1.85

***

(4)
Compound: LiAcCoO4
Source: Alexandria
Functional: PBE+U
Structure: relaxed

Output
Crystal system ... monoclinic
DFT total energy ... -88.497 eV for the cell shown
Magnetic moment ... 10.00 Bohr magnetons per cell

a b c (Å): 6.0955 5.6803 6.8307
angles (deg): 90.00 112.75 90.00
Closest atoms and distances in Å follow each position.
Positions (direct):
Li  0.7859  0.7500  0.5448  3 O 2.00-2.08
Li  0.2141  0.2500  0.4552  3 O 2.00-2.08
Ac  0.7399  0.7500  0.9736  6 O 2.47-2.59
Ac  0.2601  0.2500  0.0264  6 O 2.47-2.59
Co  0.2886  0.7500  0.3252  4 O 1.75-1.83
Co  0.7114  0.2500  0.6748  4 O 1.75-1.83
O  0.9214  0.4937  0.7597  1 Co 1.82, 1 Li 2.00
O  0.0786  0.9937  0.2403  1 Co 1.82, 1 Li 2.00
O  0.0786  0.5063  0.2403  1 Co 1.82, 1 Li 2.00
O  0.9214  0.0063  0.7597  1 Co 1.82, 1 Li 2.00
O  0.4604  0.7500  0.1571  1 Co 1.83
O  0.5396  0.2500  0.8429  1 Co 1.83
O  0.4703  0.7500  0.5951  1 Co 1.75
O  0.5297  0.2500  0.4049  1 Co 1.75